# K3MgMn2F9, relaxed, DFT PBE+U
data_K3MgMn2F9
_chemical_formula_sum 'K3 Mg1 Mn2 F9'
_cell_length_a 5.9203
_cell_length_b 5.9203
_cell_length_c 7.2576
_cell_angle_alpha 90.00
_cell_angle_beta 90.00
_cell_angle_gamma 120.00
_symmetry_space_group_name_H-M 'P -3 m 1'
_symmetry_Int_Tables_number 164
_symmetry_space_group_name_Hall '-P 3 2"'
loop_
_atom_site_label
_atom_site_type_symbol
_atom_site_fract_x
_atom_site_fract_y
_atom_site_fract_z
K1 K 0.0000 0.0000 0.0000
K2 K 0.3333 0.6667 0.6686
Mg1 Mg 0.0000 0.0000 0.5000
Mn1 Mn 0.3333 0.6667 0.1749
F1 F 0.0000 0.5000 0.0000
F2 F 0.1613 0.3226 0.3407
# - V (Å³ per atom) = 14.69
# - E_tot (eV per cell) = -80.9